La2BiIrN | PBE | optimized geometry

Cell lengths 5.494, 5.494, 3.903 Å; angles 90.00, 90.00, 90.00 degrees
Space group P4/mmm (No. 123)
Inequivalent atoms, fractional coordinates:
La 0.000 0.500 0.000 x2
Bi 0.000 0.000 0.500 x1
Ir 0.500 0.500 0.500 x1
N 0.500 0.500 0.000 x1

## Properties
E in eV/atom: -7.013
Calculated density in g cm⁻³: 9.766
Calculated volume in Å³/atom: 23.57

LaBiIrO6 | PBE | optimized geometry

Cell lengths 5.7867, 5.7867, 9.2141 Å; angles 90.00, 90.00, 120.00 degrees
Space group P-31c (No. 163)
Inequivalent atoms, fractional coordinates:
La 0.3333 0.6667 0.2500 x2
Bi 0.0000 0.0000 0.0000 x2
Ir 0.3333 0.6667 0.7500 x2
O 0.0553 0.3815 0.6304 x12

## Properties
E in eV/atom: -6.786
Calculated density in g cm⁻³: 7.906
Calculated volume in Å³/atom: 14.84

LaBiIrPb2 | PBE | optimized geometry

Cell lengths 5.324, 5.324, 5.484 Å; angles 90.00, 90.00, 90.00 degrees
Space group P4/mmm (No. 123)
Inequivalent atoms, fractional coordinates:
La 0.000 0.000 0.000 x1
Bi 0.500 0.500 0.000 x1
Ir 0.000 0.000 0.500 x1
Pb 0.000 0.500 0.500 x2

## Properties
E in eV/atom: -5.296
Calculated density in g cm⁻³: 10.197
Energy of formation from the pure elements in meV per atom: -278
Calculated volume in Å³/atom: 31.09

RbLaBiIr2 | PBE | optimized geometry

Cell lengths 4.995, 4.995, 5.462 Å; angles 90.00, 90.00, 90.00 degrees
Space group P4/mmm (No. 123)
Inequivalent atoms, fractional coordinates:
Rb 0.000 0.000 0.000 x1
La 0.000 0.000 0.500 x1
Bi 0.500 0.500 0.500 x1
Ir 0.000 0.500 0.000 x2

## Properties
E in eV/atom: -3.687
Calculated density in g cm⁻³: 9.965
Energy of formation from the pure elements in meV per atom: 1813
Calculated volume in Å³/atom: 27.26

RbLa2BiIr | PBE | optimized geometry

Cell lengths 5.551, 5.551, 5.678 Å; angles 90.00, 90.00, 90.00 degrees
Space group P4/mmm (No. 123)
Inequivalent atoms, fractional coordinates:
Rb 0.000 0.000 0.000 x1
La 0.000 0.500 0.000 x2
Bi 0.000 0.000 0.500 x1
Ir 0.500 0.500 0.500 x1

## Properties
E in eV/atom: -3.049
Calculated density in g cm⁻³: 7.254
Energy of formation from the pure elements in meV per atom: 1664
Calculated volume in Å³/atom: 35.00

LaRe2BiIr | PBE | optimized geometry

Cell lengths 4.825, 4.825, 5.464 Å; angles 90.00, 90.00, 90.00 degrees
Space group P4/mmm (No. 123)
Inequivalent atoms, fractional coordinates:
La 0.000 0.000 0.000 x1
Re 0.000 0.500 0.500 x2
Bi 0.500 0.500 0.000 x1
Ir 0.000 0.000 0.500 x1

## Properties
E in eV/atom: -7.506
Calculated density in g cm⁻³: 11.911
Energy of formation from the pure elements in meV per atom: 1007
Calculated volume in Å³/atom: 25.44

La2BiSb3Ir4 | PBE | optimized geometry

Cell lengths 4.583, 4.583, 10.810 Å; angles 90.00, 90.00, 90.00 degrees
Space group P-4m2 (No. 115)
Inequivalent atoms, fractional coordinates:
La 0.000 0.500 0.239 x2
Bi 0.000 0.000 0.500 x1
Sb 0.000 0.500 0.870 x2
Sb 0.500 0.500 0.500 x1
Ir 0.000 0.000 0.000 x1
Ir 0.000 0.500 0.632 x2
Ir 0.500 0.500 0.000 x1

## Properties
E in eV/atom: -6.711
Calculated density in g cm⁻³: 11.853
Calculated volume in Å³/atom: 22.71

La2SnBiIr | PBE | optimized geometry

Cell lengths 5.623, 5.623, 5.060 Å; angles 90.00, 90.00, 90.00 degrees
Space group P4/mmm (No. 123)
Inequivalent atoms, fractional coordinates:
La 0.000 0.500 0.000 x2
Sn 0.000 0.000 0.500 x1
Bi 0.500 0.500 0.500 x1
Ir 0.000 0.000 0.000 x1

## Properties
E in eV/atom: -6.009
Calculated density in g cm⁻³: 8.278
Energy of formation from the pure elements in meV per atom: -689
Calculated volume in Å³/atom: 32.00

Sr2LaBiIr | PBE | optimized geometry

Cell lengths 5.805, 5.805, 5.413 Å; angles 90.00, 90.00, 90.00 degrees
Space group P4/mmm (No. 123)
Inequivalent atoms, fractional coordinates:
Sr 0.000 0.500 0.000 x2
La 0.000 0.000 0.500 x1
Bi 0.500 0.500 0.500 x1
Ir 0.000 0.000 0.000 x1

## Properties
E in eV/atom: -4.727
Calculated density in g cm⁻³: 6.512
Energy of formation from the pure elements in meV per atom: -520
Calculated volume in Å³/atom: 36.48

SrLa2BiIr | PBE | optimized geometry

Cell lengths 5.487, 5.487, 5.937 Å; angles 90.00, 90.00, 90.00 degrees
Space group P4/mmm (No. 123)
Inequivalent atoms, fractional coordinates:
Sr 0.000 0.000 0.000 x1
La 0.000 0.500 0.500 x2
Bi 0.500 0.500 0.000 x1
Ir 0.000 0.000 0.500 x1

## Properties
E in eV/atom: -5.462
Calculated density in g cm⁻³: 7.123
Energy of formation from the pure elements in meV per atom: -606
Calculated volume in Å³/atom: 35.74

La2TlBiIr | PBE | optimized geometry

Cell lengths 5.562, 5.562, 5.221 Å; angles 90.00, 90.00, 90.00 degrees
Space group P4/mmm (No. 123)
Inequivalent atoms, fractional coordinates:
La 0.000 0.500 0.000 x2
Tl 0.000 0.000 0.500 x1
Bi 0.500 0.500 0.500 x1
Ir 0.000 0.000 0.000 x1

## Properties
E in eV/atom: -5.604
Calculated density in g cm⁻³: 9.082
Energy of formation from the pure elements in meV per atom: -611
Calculated volume in Å³/atom: 32.30

LaZnBi2Ir | PBE | optimized geometry

Cell lengths 5.125, 5.125, 5.548 Å; angles 90.00, 90.00, 90.00 degrees
Space group P4/mmm (No. 123)
Inequivalent atoms, fractional coordinates:
La 0.000 0.000 0.000 x1
Zn 0.000 0.000 0.500 x1
Bi 0.000 0.500 0.500 x2
Ir 0.500 0.500 0.000 x1

## Properties
E in eV/atom: -3.860
Calculated density in g cm⁻³: 9.279
Energy of formation from the pure elements in meV per atom: 705
Calculated volume in Å³/atom: 29.15

LaZn2BiIr | PBE | optimized geometry

Cell lengths 5.183, 5.183, 5.096 Å; angles 90.00, 90.00, 90.00 degrees
Space group P4/mmm (No. 123)
Inequivalent atoms, fractional coordinates:
La 0.000 0.000 0.000 x1
Zn 0.000 0.500 0.500 x2
Bi 0.500 0.500 0.500 x1
Ir 0.500 0.500 0.000 x1

## Properties
E in eV/atom: -3.536
Calculated density in g cm⁻³: 8.139
Energy of formation from the pure elements in meV per atom: 508
Calculated volume in Å³/atom: 27.38

La2ZnBiIr | PBE | optimized geometry

Cell lengths 5.537, 5.537, 4.884 Å; angles 90.00, 90.00, 90.00 degrees
Space group P4/mmm (No. 123)
Inequivalent atoms, fractional coordinates:
La 0.000 0.500 0.000 x2
Zn 0.000 0.000 0.500 x1
Bi 0.500 0.500 0.500 x1
Ir 0.000 0.000 0.000 x1

## Properties
E in eV/atom: -5.450
Calculated density in g cm⁻³: 8.257
Energy of formation from the pure elements in meV per atom: -676
Calculated volume in Å³/atom: 29.94

Li2BiIr2 | PBE | optimized geometry

Cell lengths 7.422, 7.422, 2.975 Å; angles 90.00, 90.00, 90.00 degrees
Space group P4/mbm (No. 127)
Inequivalent atoms, fractional coordinates:
Li 0.169 0.331 0.000 x4
Bi 0.000 0.000 0.500 x2
Ir 0.119 0.619 0.500 x4

## Properties
E in eV/atom: -4.936
Calculated density in g cm⁻³: 12.307
Energy of formation from the pure elements in meV per atom: 150
Calculated volume in Å³/atom: 16.39

Li2Bi2Ir | PBE | optimized geometry

Cell lengths 7.060, 7.060, 4.652 Å; angles 90.00, 90.00, 90.00 degrees
Space group P4/mbm (No. 127)
Inequivalent atoms, fractional coordinates:
Li 0.166 0.334 0.000 x4
Bi 0.151 0.651 0.500 x4
Ir 0.000 0.000 0.500 x2

## Properties
E in eV/atom: -4.161
Calculated density in g cm⁻³: 8.939
Energy of formation from the pure elements in meV per atom: -70
Calculated volume in Å³/atom: 23.19

Li3BiIr | PBE | optimized geometry

Cell lengths 4.630, 4.630, 4.630 Å; angles 90.00, 90.00, 90.00 degrees
Space group Pm-3m (No. 221)
Inequivalent atoms, fractional coordinates:
Li 0.000 0.000 0.500 x3
Bi 0.500 0.500 0.500 x1
Ir 0.000 0.000 0.000 x1

## Properties
E in eV/atom: -3.416
Calculated density in g cm⁻³: 7.063
Energy of formation from the pure elements in meV per atom: 281
E above lowest polymorph in kcal/mol of atoms: 0.00
Calculated volume in Å³/atom: 19.85

LiBi2Ir2 | PBE | optimized geometry

Cell lengths 4.957, 4.957, 9.887 Å; angles 90.00, 90.00, 90.00 degrees
Space group I4/mmm (No. 139)
Inequivalent atoms, fractional coordinates:
Li 0.000 0.000 0.000 x2
Bi 0.000 0.500 0.250 x4
Ir 0.000 0.000 0.375 x4

## Properties
E in eV/atom: -5.204
Calculated density in g cm⁻³: 11.064
Energy of formation from the pure elements in meV per atom: 276
E above lowest polymorph in kcal/mol of atoms: 2.21
Calculated volume in Å³/atom: 24.29

LiBi2Ir2 | PBE | optimized geometry

Cell lengths 7.594, 7.594, 3.600 Å; angles 90.00, 90.00, 90.00 degrees
Space group P4/mbm (No. 127)
Inequivalent atoms, fractional coordinates:
Li 0.000 0.000 0.000 x2
Bi 0.166 0.334 0.500 x4
Ir 0.132 0.632 0.000 x4

## Properties
E in eV/atom: -5.300
Calculated density in g cm⁻³: 12.947
Energy of formation from the pure elements in meV per atom: 180
E above lowest polymorph in kcal/mol of atoms: 0.00
Calculated volume in Å³/atom: 20.76

LiBi12Ir4 | PBE | optimized geometry

Cell lengths 9.843, 9.843, 9.843 Å; angles 90.00, 90.00, 90.00 degrees
Space group Im-3 (No. 204)
Inequivalent atoms, fractional coordinates:
Li 0.000 0.000 0.000 x2
Bi 0.000 0.157 0.335 x24
Ir 0.250 0.250 0.250 x8

## Properties
E in eV/atom: -4.990
Calculated density in g cm⁻³: 11.436
Energy of formation from the pure elements in meV per atom: -53
Calculated volume in Å³/atom: 28.05